Entry 1:
Re3Sb: relaxed, PBE.

Results
- ΔE to the lowest computed polymorph: 0.000 eV/f.u.
- Magnetization: 0.0000 μB per atom
- Mass density: 17.3 g/cm³

Cell: 3.064 3.064 6.940 Å, 90.00 90.00 90.00°
Space group P4/mmm (No. 123)
One atom of each set of equivalent atoms:
1 Re 0.000 0.000 0.000 [1 per cell]
2 Re 0.500 0.500 0.237 [2 per cell]
3 Sb 0.000 0.000 0.500 [1 per cell]

Entry 2:
PuZnGaSn: relaxed, PBE.

Results
- ΔE to the lowest computed polymorph: 0.499 eV/f.u.
- Magnetization: 1.3486 μB per atom
- Energy relative to the elements: -0.1445 eV per atom
- Mass density: 9.6 g/cm³

Cell: 7.009 7.009 7.009 Å, 90.00 90.00 90.00°
Space group F-43m (No. 216)
One atom of each set of equivalent atoms:
1 Pu 0.000 0.000 0.000 [4 per cell]
2 Zn 0.250 0.250 0.750 [4 per cell]
3 Ga 0.250 0.250 0.250 [4 per cell]
4 Sn 0.000 0.000 0.500 [4 per cell]

Entry 3:
LiTmZrMn: relaxed, PBE.

Results
- Magnetization: 0.3069 μB per atom
- Energy relative to the elements: 0.1227 eV per atom
- Mass density: 7.1 g/cm³

Cell: 6.690 6.690 6.690 Å, 90.00 90.00 90.00°
Space group F-43m (No. 216)
One atom of each set of equivalent atoms:
1 Li 0.000 0.000 0.000 [4 per cell]
2 Tm 0.250 0.250 0.750 [4 per cell]
3 Zr 0.250 0.250 0.250 [4 per cell]
4 Mn 0.000 0.000 0.500 [4 per cell]

Entry 4:
MgTa2S: relaxed, PBE.

Results
- ΔE to the lowest computed polymorph: 1.201 eV/f.u.
- Magnetization: 0.0000 μB per atom
- Mass density: 10.3 g/cm³

Cell: 6.452 6.452 6.452 Å, 90.00 90.00 90.00°
Space group Fm-3m (No. 225)
One atom of each set of equivalent atoms:
1 Mg 0.000 0.000 0.000 [4 per cell]
2 Ta 0.250 0.250 0.250 [8 per cell]
3 S 0.000 0.000 0.500 [4 per cell]

Entry 5:
ZnRuCl2: relaxed, PBE.

Results
- ΔE to the lowest computed polymorph: 0.625 eV/f.u.
- Magnetization: 0.0000 μB per atom
- Mass density: 4.0 g/cm³

Cell: 8.690 3.369 7.119 Å, 90.00 109.22 90.00°
Space group Cm (No. 8)
One atom of each set of equivalent atoms:
1 Zn 0.000 0.000 0.000 [2 per cell]
2 Ru 0.249 0.500 0.090 [2 per cell]
3 Cl 0.180 0.000 0.799 [2 per cell]
4 Cl 0.328 0.000 0.324 [2 per cell]

Entry 6:
BaNa3Hg: relaxed, PBE.

Results
- ΔE to the lowest computed polymorph: 0.077 eV/f.u.
- Magnetization: 0.0000 μB per atom
- Energy relative to the elements: -0.1460 eV per atom
- Mass density: 3.5 g/cm³

Cell: 19.392 10.969 7.285 Å, 90.00 100.32 90.00°
Space group C2/c (No. 15)
One atom of each set of equivalent atoms:
1 Ba 0.000 0.072 0.250 [4 per cell]
2 Ba 0.000 0.359 0.750 [4 per cell]
3 Na 0.172 0.171 0.076 [8 per cell]
4 Na 0.176 0.166 0.593 [8 per cell]
5 Na 0.186 0.498 0.604 [8 per cell]
6 Hg 0.084 0.347 0.305 [8 per cell]

Repeat the fifth record exactly.
ZnRuCl2: relaxed, PBE.

Results
- ΔE to the lowest computed polymorph: 0.625 eV/f.u.
- Magnetization: 0.0000 μB per atom
- Mass density: 4.0 g/cm³

Cell: 8.690 3.369 7.119 Å, 90.00 109.22 90.00°
Space group Cm (No. 8)
One atom of each set of equivalent atoms:
1 Zn 0.000 0.000 0.000 [2 per cell]
2 Ru 0.249 0.500 0.090 [2 per cell]
3 Cl 0.180 0.000 0.799 [2 per cell]
4 Cl 0.328 0.000 0.324 [2 per cell]

Q: The lowest mass density belongs to which entry?
A: BaNa3Hg

Q: Which of these has the highest mass density?
A: Re3Sb